1.
DFT (PBE-GGA) results for a relaxed structure of BaHgPt2Pb2.

The structure in CIF format:
```
data_BaHgPt2Pb2
_chemical_formula_sum 'Ba2 Hg2 Pt4 Pb4'
_symmetry_space_group_name_H-M 'P 1'
_symmetry_Int_Tables_number 1
_symmetry_space_group_name_Hall 'P 1'
_cell_length_a 4.6219
_cell_length_b 5.5271
_cell_length_c 13.8046
_cell_angle_alpha 90.00
_cell_angle_beta 90.00
_cell_angle_gamma 90.00
loop_
_atom_site_label
_atom_site_fract_x
_atom_site_fract_y
_atom_site_fract_z
Pb1 0.5000 0.2816 0.2769
Pb2 0.0000 0.7816 0.2231
Pb3 0.0000 0.2184 0.7769
Pb4 0.5000 0.7184 0.7231
Ba1 0.0000 0.0000 0.5000
Ba2 0.5000 0.5000 0.0000
Pt1 0.5000 0.7961 0.3412
Pt2 0.0000 0.7039 0.8412
Pt3 0.5000 0.2039 0.6588
Pt4 0.0000 0.2961 0.1588
Hg1 0.5000 0.5000 0.5000
Hg2 0.0000 0.0000 0.0000
```

Computed properties:
Calculated volume   352.6 Å³ per cell
ΔE_f   -0.373 eV per atom

---

2.
DFT (PBE-GGA) results for a relaxed structure of Ba2HgPt4Pb3.

The structure in CIF format:
```
data_Ba2HgPt4Pb3
_chemical_formula_sum 'Ba2 Hg1 Pt4 Pb3'
_symmetry_space_group_name_H-M 'P 1'
_symmetry_Int_Tables_number 1
_symmetry_space_group_name_Hall 'P 1'
_cell_length_a 4.9613
_cell_length_b 4.9613
_cell_length_c 10.7922
_cell_angle_alpha 90.00
_cell_angle_beta 90.00
_cell_angle_gamma 90.00
loop_
_atom_site_label
_atom_site_fract_x
_atom_site_fract_y
_atom_site_fract_z
Ba1 0.5000 0.0000 0.2462
Ba2 0.0000 0.5000 0.7538
Pb1 0.0000 0.5000 0.1177
Pb2 0.0000 0.0000 0.5000
Pb3 0.5000 0.0000 0.8823
Pt1 0.0000 0.0000 0.0000
Pt2 0.0000 0.5000 0.3731
Pt3 0.5000 0.0000 0.6269
Pt4 0.5000 0.5000 0.0000
Hg1 0.5000 0.5000 0.5000
```

Computed properties:
Calculated volume   265.6 Å³ per cell
ΔE_f   -0.495 eV per atom

---

3.
DFT (PBE-GGA) results for a relaxed structure of BaHg2PtPb.

The structure in CIF format:
```
data_BaHg2PtPb
_chemical_formula_sum 'Ba1 Hg2 Pt1 Pb1'
_symmetry_space_group_name_H-M 'P 1'
_symmetry_Int_Tables_number 1
_symmetry_space_group_name_Hall 'P 1'
_cell_length_a 5.3447
_cell_length_b 5.3447
_cell_length_c 5.4520
_cell_angle_alpha 90.00
_cell_angle_beta 90.00
_cell_angle_gamma 90.00
loop_
_atom_site_label
_atom_site_fract_x
_atom_site_fract_y
_atom_site_fract_z
Pt1 0.0000 0.0000 0.0000
Pb1 0.0000 0.0000 0.5000
Hg1 0.0000 0.5000 0.0000
Hg2 0.5000 0.0000 0.0000
Ba1 0.5000 0.5000 0.5000
```

Computed properties:
Calculated volume   155.7 Å³ per cell
ΔE_f   -0.296 eV per atom

---

4.
DFT (PBE-GGA) results for a relaxed structure of RbBa2Hg2Pb2.

The structure in CIF format:
```
data_RbBa2Hg2Pb2
_chemical_formula_sum 'Rb1 Ba2 Hg2 Pb2'
_symmetry_space_group_name_H-M 'P 1'
_symmetry_Int_Tables_number 1
_symmetry_space_group_name_Hall 'P 1'
_cell_length_a 5.4460
_cell_length_b 5.4460
_cell_length_c 11.6639
_cell_angle_alpha 76.50
_cell_angle_beta 76.50
_cell_angle_gamma 60.00
loop_
_atom_site_label
_atom_site_fract_x
_atom_site_fract_y
_atom_site_fract_z
Hg1 0.4275 0.4275 0.7174
Hg2 0.5725 0.5725 0.2826
Rb1 0.0000 0.0000 0.0000
Ba1 0.1325 0.1325 0.6026
Ba2 0.8675 0.8675 0.3974
Pb1 0.2545 0.2545 0.2365
Pb2 0.7455 0.7455 0.7635
```

Computed properties:
Calculated volume   288.5 Å³ per cell
ΔE_f   -0.317 eV per atom

---

5.
DFT (PBE-GGA) results for a relaxed structure of Ba2HgRhPb.

The structure in CIF format:
```
data_Ba2HgRhPb
_chemical_formula_sum 'Ba2 Hg1 Rh1 Pb1'
_symmetry_space_group_name_H-M 'P 1'
_symmetry_Int_Tables_number 1
_symmetry_space_group_name_Hall 'P 1'
_cell_length_a 6.0758
_cell_length_b 6.0758
_cell_length_c 5.2273
_cell_angle_alpha 90.00
_cell_angle_beta 90.00
_cell_angle_gamma 90.00
loop_
_atom_site_label
_atom_site_fract_x
_atom_site_fract_y
_atom_site_fract_z
Ba1 0.0000 0.5000 0.0000
Ba2 0.5000 0.0000 0.0000
Hg1 0.5000 0.5000 0.5000
Pb1 0.0000 0.0000 0.5000
Rh1 0.0000 0.0000 0.0000
```

Computed properties:
Calculated volume   193.0 Å³ per cell
ΔE_f   -0.350 eV per atom

---

6.
DFT (PBE-GGA) results for a relaxed structure of BaHgRh2Pb.

The structure in CIF format:
```
data_BaHgRh2Pb
_chemical_formula_sum 'Ba1 Hg1 Rh2 Pb1'
_symmetry_space_group_name_H-M 'P 1'
_symmetry_Int_Tables_number 1
_symmetry_space_group_name_Hall 'P 1'
_cell_length_a 5.0929
_cell_length_b 6.4155
_cell_length_c 5.0929
_cell_angle_alpha 90.00
_cell_angle_beta 90.00
_cell_angle_gamma 90.00
loop_
_atom_site_label
_atom_site_fract_x
_atom_site_fract_y
_atom_site_fract_z
Rh1 0.0000 0.0000 0.5000
Rh2 0.5000 0.0000 0.0000
Hg1 0.5000 0.5000 0.5000
Pb1 0.0000 0.0000 0.0000
Ba1 0.0000 0.5000 0.0000
```

Computed properties:
Calculated volume   166.4 Å³ per cell
ΔE_f   0.654 eV per atom